Version 1
## RbP2HO (PBE)

Data for a relaxed structure of RbP2HO.

Output
Space-group type = No. 123
Size of the total moment = 0.00 μB per formula unit
Mass density = 2.9 g cm⁻³

Unit cell a=3.6086 b=3.6086 c=7.3200 alpha=90.00 beta=90.00 gamma=90.00
Atoms (fractional coordinates):
P: 0.5000 0.0000 0.0000
O: 0.0000 0.0000 0.5000
H: 0.0000 0.0000 0.0000
Rb: 0.5000 0.5000 0.5000
P: 0.0000 0.5000 0.0000

Version 2
## RbP2HO (PBE)

Data for a relaxed structure of RbP2HO.

Output
Space-group type = No. 123
Size of the total moment = 8.00 μB per formula unit
Mass density = 0.9 g cm⁻³

Unit cell a=7.6243 b=7.6243 c=5.0244 alpha=90.00 beta=90.00 gamma=90.00
Atoms (fractional coordinates):
O: 0.0000 0.0000 0.5000
P: 0.0000 0.5000 0.0000
Rb: 0.0000 0.0000 0.0000
H: 0.5000 0.5000 0.5000
P: 0.5000 0.0000 0.0000

Out of the structures above, which one is the least stable? Solution: version 2.